1.
# Pm8In6Sn

Crystalline Pm8In6Sn at its relaxed geometry (PBE-GGA, Alexandria via LeMat-Bulk).

Cell lengths 9.4099, 9.4099, 8.2982 Å; angles 55.46, 55.46, 60.00 degrees
Sites, in units of the cell vectors:
Pm: 0.1499 0.8920 0.3238
Pm: 0.3657 0.8501 0.6762
Pm: 0.8501 0.1080 0.6762
Pm: 0.8920 0.6343 0.3238
Pm: 0.7145 0.7145 0.8566
Pm: 0.1080 0.3657 0.6762
Pm: 0.6343 0.1499 0.3238
Pm: 0.2855 0.2855 0.1434
In: 0.6603 0.4197 0.8299
In: 0.4197 0.0901 0.8299
In: 0.3397 0.5803 0.1701
In: 0.9099 0.3397 0.1701
In: 0.5803 0.9099 0.1701
In: 0.0901 0.6603 0.8299
Sn: 0.0000 0.0000 0.0000

Calculated values
D(E_F)   17.86 states/eV/cell

***

2.
# Ba2NaPb3

Crystalline Ba2NaPb3 at its relaxed geometry (PBE-GGA, Alexandria via LeMat-Bulk).

Cell lengths 5.5787, 7.0213, 6.8557 Å; angles 76.17, 65.99, 66.59 degrees
Sites, in units of the cell vectors:
Pb: 0.1636 0.8011 0.8717
Pb: 0.8346 0.5928 0.7380
Pb: 0.8351 0.2053 0.1245
Ba: 0.5431 0.1961 0.7178
Ba: 0.4585 0.7975 0.2854
Na: 0.1651 0.4071 0.2627

Calculated values
D(E_F)   4.24 states/eV/cell
Distance to the lowest polymorph of the same formula   0.0000 eV per atom

***

Number 1: ΔH_f (0 K) -0.30 eV per atom, size of the total moment 0.01 μB per formula unit, raw total energy -4.20 eV/atom. Number 2: ΔH_f (0 K) -0.41 eV per atom, size of the total moment 0.00 μB per formula unit, raw total energy -3.13 eV/atom.